{
  "formula": "NbCo3F",
  "functional": "GGA+U",
  "state": "relaxed",
  "volume_a3_per_cell": 95.3,
  "crystal_system": "cubic",
  "dft_energy_ev_per_atom": -3.94,
  "m_tot_mub_per_atom": 0.669,
  "n_ef_per_ev_atom": 0.807,
  "lattice_angstrom": [[4.568, 0.000, 0.000], [0.000, 4.568, 0.000], [0.000, 0.000, 4.568]],
  "species": ["Nb", "Co", "Co", "Co", "F"],
  "frac_coords": [[0.000, 0.000, 0.000], [0.000, 0.000, 0.500], [0.000, 0.500, 0.000], [0.500, 0.000, 0.000], [0.500, 0.500, 0.500]]
}